(1)
Material: RbPa3S7
Method: DFT, GGA-PBE
State: relaxed

Total energy   -6.841 eV/atom
DOS at the Fermi energy   10.606 states/eV/f.u.

abc: 8.875 9.695 7.053
angles: 90.00 109.67 90.00
Space group C2/m (No. 12)
Unique sites:
Rb 0.000 0.000 0.000 (multiplicity 2)
Pa 0.000 0.273 0.500 (multiplicity 4)
Pa 0.000 0.500 0.000 (multiplicity 2)
S 0.000 0.000 0.500 (multiplicity 2)
S 0.139 0.500 0.723 (multiplicity 4)
S 0.176 0.303 0.249 (multiplicity 8)

=====

(2)
Material: Zr2SnS
Method: DFT, GGA-PBE
State: relaxed

DOS at the Fermi energy   1.911 states/eV/f.u.
E above lowest polymorph   0.0 meV/atom

abc: 3.7178 3.7178 21.0978
angles: 90.00 90.00 120.00
Space group R3m (No. 160, hexagonal axes)
Unique sites:
Zr 0.0000 0.0000 0.0000 (multiplicity 3)
Zr 0.0000 0.0000 0.2017 (multiplicity 3)
Sn 0.0000 0.0000 0.7686 (multiplicity 3)
S 0.0000 0.0000 0.6002 (multiplicity 3)

=====

(3)
Material: Ti6N5O
Method: DFT, GGA-PBE
State: relaxed

Total energy   -9.693 eV/atom
DOS at the Fermi energy   5.239 states/eV/f.u.

abc: 5.223 9.050 5.226
angles: 90.00 109.52 90.00
Space group C2/m (No. 12)
Unique sites:
Ti 0.239 0.000 0.264 (multiplicity 4)
Ti 0.241 0.175 0.744 (multiplicity 8)
N 0.000 0.000 0.500 (multiplicity 2)
N 0.000 0.165 0.000 (multiplicity 4)
N 0.000 0.336 0.500 (multiplicity 4)
O 0.000 0.500 0.000 (multiplicity 2)

=====

| no. | total moment (μB per cell) |
| --- | --- |
| 1 | 4.149 |
| 2 | 0.000 |
| 3 | 0.000 |